No. 1
The following is a DFT calculation (PBE-GGA) of K2SnGe after structural relaxation.

## Properties
energy relative to the elements	0.23	eV/atom
calculated density	3.37	Mg/m³
DOS at the Fermi energy	0.62	states/eV/cell

a b c (Å): 5.726 5.726 5.726
angles (deg): 60.00 60.00 60.00
Fractional coordinates of all 4 atoms:
1 Sn 0.500 0.500 0.500
2 K 0.250 0.250 0.250
3 K 0.750 0.750 0.750
4 Ge 0.000 0.000 0.000

***

No. 2
The following is a DFT calculation (PBE-GGA) of ScTl2CdTc after structural relaxation.

## Properties
energy relative to the elements	0.67	eV/atom
calculated density	7.80	Mg/m³
DOS at the Fermi energy	3.59	states/eV/cell

a b c (Å): 5.218 5.190 5.218
angles (deg): 90.00 90.00 90.00
Last column: magnetic moment on the atom in μB.
Fractional coordinates of all 5 atoms:
1 Tc 0.000 0.000 0.000  0.97
2 Cd 0.000 0.500 0.000  -0.01
3 Tl 0.000 0.000 0.500  0.02
4 Tl 0.500 0.000 0.000  -0.02
5 Sc 0.500 0.500 0.500  0.40

***

No. 3
The following is a DFT calculation (PBE-GGA) of MgCd2Hg2 after structural relaxation.

## Properties
energy relative to the elements	-0.06	eV/atom
calculated density	9.41	Mg/m³
DOS at the Fermi energy	2.79	states/eV/cell

a b c (Å): 6.297 5.888 7.886
angles (deg): 108.29 90.00 122.33
Fractional coordinates of all 10 atoms:
1 Cd 0.750 0.797 0.045
2 Cd 0.250 0.203 0.955
3 Cd 0.048 0.797 0.545
4 Cd 0.952 0.203 0.455
5 Mg 0.643 0.000 0.750
6 Mg 0.357 0.000 0.250
7 Hg 0.455 0.609 0.354
8 Hg 0.846 0.391 0.146
9 Hg 0.545 0.391 0.646
10 Hg 0.154 0.609 0.854

***

No. 4
The following is a DFT calculation (PBE-GGA) of NbTeIr2Pb after structural relaxation.

## Properties
calculated density	10.48	Mg/m³
final energy	-5.776	eV/atom
DOS at the Fermi energy	4.49	states/eV/cell

a b c (Å): 4.834 5.504 4.834
angles (deg): 90.00 90.00 90.00
Fractional coordinates of all 5 atoms:
1 Ir 0.500 0.000 0.000
2 Ir 0.000 0.000 0.500
3 Nb 0.000 0.000 0.000
4 Pb 0.000 0.500 0.000
5 Te 0.500 0.500 0.500

***

No. 5
The following is a DFT calculation (PBE-GGA) of Rb2TePtF6 after structural relaxation.

## Properties
calculated density	4.81	Mg/m³
final energy	-3.997	eV/atom
DOS at the Fermi energy	1.62	states/eV/cell

a b c (Å): 6.328 6.328 6.893
angles (deg): 62.68 62.68 90.00
Fractional coordinates of all 10 atoms:
1 F 0.193 0.193 0.614
2 F 0.807 0.807 0.386
3 F 0.257 0.743 0.000
4 F 0.743 0.257 0.000
5 F 0.743 0.743 0.000
6 F 0.257 0.257 0.000
7 Rb 0.250 0.750 0.500
8 Rb 0.750 0.250 0.500
9 Pt 0.000 0.000 0.000
10 Te 0.500 0.500 0.000

***

No. 6
The following is a DFT calculation (PBE-GGA) of Rb2GaI6O after structural relaxation.

## Properties
calculated density	4.18	Mg/m³
final energy	-2.491	eV/atom
DOS at the Fermi energy	11.74	states/eV/cell

a b c (Å): 8.852 8.852 8.115
angles (deg): 56.95 56.95 90.00
Last column: magnetic moment on the atom in μB.
Fractional coordinates of all 10 atoms:
1 Ga 0.000 0.000 0.000  -0.01
2 I 0.711 0.711 0.579  0.14
3 I 0.779 0.779 0.000  0.02
4 I 0.289 0.289 0.421  0.14
5 I 0.221 0.221 0.000  0.02
6 I 0.221 0.779 0.000  0.02
7 I 0.779 0.221 0.000  0.02
8 Rb 0.250 0.750 0.500  0.00
9 Rb 0.750 0.250 0.500  0.00
10 O 0.500 0.500 0.000  0.35

***

No. 7
The following is a DFT calculation (PBE-GGA) of CaAsSeBr2 after structural relaxation.

## Properties
calculated density	3.99	Mg/m³
final energy	-3.288	eV/atom
DOS at the Fermi energy	0.46	states/eV/cell

a b c (Å): 5.208 5.208 5.432
angles (deg): 90.00 90.00 90.00
Fractional coordinates of all 5 atoms:
1 Br 0.500 0.000 0.000
2 Br 0.000 0.500 0.000
3 Se 0.000 0.000 0.500
4 Ca 0.500 0.500 0.500
5 As 0.000 0.000 0.000

***

No. 8
The following is a DFT calculation (PBE-GGA) of CePmAl after structural relaxation.

## Properties
energy relative to the elements	-0.15	eV/atom
calculated density	6.51	Mg/m³
DOS at the Fermi energy	11.08	states/eV/cell

a b c (Å): 5.209 6.205 6.205
angles (deg): 92.61 114.82 114.80
Last column: magnetic moment on the atom in μB.
Fractional coordinates of all 6 atoms:
1 Ce 0.000 0.340 0.660  0.71
2 Ce 0.000 0.660 0.340  0.71
3 Pm 0.763 0.763 0.763  0.06
4 Pm 0.237 0.237 0.237  0.06
5 Al 0.500 0.847 0.153  -0.01
6 Al 0.500 0.153 0.847  -0.01